DFT (GGA-PBE) results for AcDyHoTm after structural relaxation.

Geometry as POSCAR:
```
AcDyHoTm
1.0
3.6646 -0.0005 -0.0004
-1.8319 3.1744 0.0021
-1.8269 -1.0622 11.7231
Ac Dy Tm Ho
1 1 1 1
Cartesian
2.1799 0.8248 4.3316 Ac
-1.4844 2.9431 1.2185 Dy
-1.4820 0.8217 10.1503 Tm
0.3496 -0.2361 7.3935 Ho
```

energy of formation from the pure elements: 0.071 eV/atom
E above lowest polymorph: 0 meV per atom

---

DFT (GGA-PBE) results for TbMgSc2 after structural relaxation.

Geometry as POSCAR:
```
TbMgSc2
1.0
4.6279 0.0138 -1.2843
-0.3717 4.6129 -1.2843
0.1817 0.1975 9.6247
Mg Sc Tb
2 4 2
Cartesian
3.3777 1.1638 -1.2843 Mg
0.8784 3.4629 -1.2843 Mg
2.4048 0.1056 4.1702 Sc
-0.0950 2.4052 4.1702 Sc
0.6748 0.7335 6.9242 Sc
3.7630 4.0907 0.1319 Sc
2.7882 3.0310 5.5864 Tb
1.6496 1.7932 1.4696 Tb
```

energy of formation from the pure elements: -0.005 eV/atom
E above lowest polymorph: 0 meV per atom

---

DFT (GGA-PBE) results for SrLiBeW2 after structural relaxation.

Geometry as POSCAR:
```
SrLiBeW2
1.0
-1.5911 0.1648 4.0597
-3.5658 -3.3464 -1.2616
2.6489 -3.2639 1.1706
W Be Li Sr
2 1 1 1
Cartesian
1.3244 -1.6319 0.5853 W
-0.7955 0.0824 2.0299 W
-1.2540 -3.2227 1.9844 Be
0.0000 0.0000 0.0000 Li
-1.7829 -1.6732 -0.6308 Sr
```

energy of formation from the pure elements: 1.947 eV/atom

---

DFT (GGA-PBE) results for Zn2CdGa after structural relaxation.

Geometry as POSCAR:
```
Zn2CdGa
1.0
-0.6839 2.0819 3.5072
-2.6406 -2.9675 1.2467
3.1442 -2.0332 1.8201
Ga Zn Cd
1 2 1
Cartesian
-0.0901 -1.4594 3.2870 Ga
-1.3203 -1.4837 0.6233 Zn
1.5721 -1.0166 0.9100 Zn
-0.3419 1.0410 1.7536 Cd
```

energy of formation from the pure elements: 0.089 eV/atom
E above lowest polymorph: 16 meV per atom

---

DFT (GGA-PBE) results for RbMnCuS2 after structural relaxation.

Geometry as POSCAR:
```
RbMnCuS2
1.0
-4.7168 1.0818 -2.7886
-3.8634 0.1262 6.5838
2.2596 5.5192 -1.6809
S Mn Cu Rb
4 2 2 2
Cartesian
-4.4071 5.8200 1.6937 S
-3.4917 2.5914 3.7433 S
-2.8290 4.1358 -1.6290 S
-1.9136 0.9072 0.4206 S
-1.7887 1.9196 -1.8117 Mn
-0.6686 4.6814 -2.6579 Mn
1.1298 2.7596 -0.8405 Cu
0.0000 0.0000 0.0000 Cu
-1.3389 4.4552 1.3798 Rb
-4.9818 2.2720 0.7345 Rb
```

E above lowest polymorph: 31 meV per atom
ΔE_f (raw): -0.6971 eV/atom

---

DFT (GGA-PBE) results for Na2LaCdIr after structural relaxation.

Geometry as POSCAR:
```
Na2LaCdIr
1.0
5.2221 0.0000 0.0000
0.0000 5.2493 0.0000
0.0000 0.0000 5.2221
Na La Cd Ir
2 1 1 1
Cartesian
0.0000 0.0000 2.6110 Na
2.6110 0.0000 0.0000 Na
2.6110 2.6246 2.6110 La
0.0000 2.6246 0.0000 Cd
0.0000 0.0000 0.0000 Ir
```

energy of formation from the pure elements: 0.490 eV/atom

---

DFT (GGA-PBE) results for PaTi2Bi3 after structural relaxation.

Geometry as POSCAR:
```
PaTi2Bi3
1.0
-1.5356 2.6050 -3.0949
4.4835 -2.9076 -4.6719
-9.6512 -7.6081 -1.6153
Bi Pa Ti
6 2 4
Cartesian
-6.5505 -6.4889 -6.7488 Bi
-7.6839 -5.5729 -2.3907 Bi
-3.4400 -4.3321 -6.4767 Bi
0.9806 -2.3378 -6.9914 Bi
-3.2633 -3.5786 -2.9054 Bi
-0.1529 -1.4218 -2.6333 Bi
-0.5655 -3.9981 -4.5971 Pa
-6.1378 -3.9126 -4.7850 Pa
-5.7373 -3.6271 -1.7187 Ti
-0.9660 -4.2836 -7.6634 Ti
0.6368 -0.3289 -5.1300 Ti
-7.3401 -7.5818 -4.2521 Ti
```

energy of formation from the pure elements: 0.172 eV/atom

---

DFT (GGA-PBE) results for Pt3C4 after structural relaxation.

Geometry as POSCAR:
```
Pt3C4
1.0
5.2673 0.9447 -2.9833
-5.3213 0.2449 -3.0266
-0.1714 2.5618 0.5086
C Pt
4 3
Cartesian
-0.1273 1.9026 0.3777 C
1.6520 1.9923 -2.7434 C
-0.0441 0.6592 0.1309 C
-1.8775 1.7591 -2.7578 C
2.6336 0.4723 -1.4917 Pt
-2.6607 0.1225 -1.5133 Pt
-0.0270 0.5948 -3.0049 Pt
```

energy of formation from the pure elements: 1.133 eV/atom
E above lowest polymorph: 0 meV per atom

---

DFT (GGA-PBE) results for Ce2TcC2 after structural relaxation.

Geometry as POSCAR:
```
Ce2TcC2
1.0
-1.0378 0.6804 5.0862
3.3927 -5.4089 1.4158
8.2940 5.4543 0.9626
Ce C Tc
8 8 4
Cartesian
1.5974 1.8817 4.1159 Ce
9.0515 -1.1559 3.3487 Ce
7.7754 4.6706 5.0034 Ce
7.7900 1.8345 2.6913 Ce
2.8735 -3.9448 2.4612 Ce
6.1062 -0.2471 5.3206 Ce
2.8588 -1.1087 4.7733 Ce
4.5427 0.9729 2.1440 Ce
7.0477 2.1216 5.1959 C
3.6012 -1.3958 2.2687 C
6.5987 -0.4409 2.7526 C
4.0502 1.1666 4.7120 C
8.1752 4.4159 2.4245 C
8.6727 -0.6297 5.8955 C
1.9762 1.3555 1.5691 C
2.4737 -3.6901 5.0400 C
8.8376 1.3132 5.6692 Tc
5.3953 -2.0504 2.7223 Tc
1.8112 -0.5874 1.7954 Tc
5.2536 2.7762 4.7422 Tc
```

energy of formation from the pure elements: -0.273 eV/atom
E above lowest polymorph: 0 meV per atom